Density functional theory data (PBE) for Sm6SnSe12 after structural relaxation.

## Properties
Uncorrected formation energy: -2687 kJ/mol of formula units
D(E_F): 34.50 states/eV/cell
Magnetization: 0.00 μB per formula unit

Cell: 12.5769 12.5769 12.1013 Å, 90.00 90.00 120.00°
Space group R-3 (No. 148, hexagonal axes)
Inequivalent atoms, fractional coordinates:
Sm 0.0430 0.7721 0.1320 (multiplicity 18)
Sn 0.0000 0.0000 0.5000 (multiplicity 3)
Se 0.0319 0.8169 0.8954 (multiplicity 18)
Se 0.0787 0.8598 0.3815 (multiplicity 18)